## P
DFT (PBE) results for a relaxed structure of Cd5W.

Properties
* total magnetic moment: 3.1 μB/f.u.

a = 5.5531 Å, b = 5.5531 Å, c = 5.0068 Å
α = 90.00°, β = 90.00°, γ = 120.00°
Space group P6/mmm (No. 191)
Inequivalent atoms, fractional coordinates:
Cd (0.0000, 0.5000, 0.0000) x3
Cd (0.3333, 0.6667, 0.5000) x2
W (0.0000, 0.0000, 0.5000) x1

## Q
DFT (PBE) results for a relaxed structure of Cd5W.

Properties
* total magnetic moment: 0.0 μB/f.u.

a = 11.3437 Å, b = 2.9652 Å, c = 7.4970 Å
α = 90.00°, β = 105.92°, γ = 90.00°
Space group Cm (No. 8)
Inequivalent atoms, fractional coordinates:
Cd (0.0000, 0.0000, 0.0000) x2
Cd (0.0526, 0.0000, 0.6260) x2
Cd (0.1680, 0.5000, 0.3311) x2
Cd (0.3197, 0.0000, 0.6900) x2
Cd (0.3882, 0.0000, 0.2801) x2
W (0.2238, 0.5000, 0.9643) x2

Most stable structure among those shown: Q.